Here is a relaxed structure of BaNaVCd2 from Alexandria via LeMat-Bulk. Energies are from PBE-GGA.

Cell lengths 5.480, 5.480, 5.438 Å; angles 90.00, 90.00, 90.00 degrees
Space group P4/mmm (No. 123)
Symmetry-distinct sites (fractional):
Ba  0.000  0.000  0.000 x1
Na  0.500  0.500  0.500 x1
V  0.500  0.500  0.000 x1
Cd  0.000  0.500  0.500 x2

Energy of formation from the pure elements ... 0.627 eV per atom
Calculated density ... 4.44 g/cm³
Crystal system ... tetragonal